Record 1
Entry from Alexandria via LeMat-Bulk: a relaxed BaOs crystal (PBE).

Cell and atoms, written as POSCAR:
```
BaOs
1.0
1.204 -6.579 2.351
2.867 -4.111 5.014
-4.879 -2.718 5.565
Ba Os
3 3
Cartesian
3.323 -10.029 7.220
-0.564 -8.804 8.511
1.552 -7.341 5.834
-0.702 -5.245 5.299
0.732 -11.451 10.156
-2.555 -5.811 6.981
```

Summary:
The calculation puts the density of states at the Fermi level at 1.86 states/eV/f.u. The calculation puts the total energy at -5.917 eV/atom. Its space-group type is Cm (8).

Record 2
Entry from Alexandria via LeMat-Bulk: a relaxed Ba5Os crystal (PBE).

Cell and atoms, written as POSCAR:
```
Ba5Os
1.0
-0.487 -0.442 -3.939
1.464 -3.708 0.235
-16.503 -6.344 2.752
Ba Os
5 1
Cartesian
-14.870 -5.716 2.479
-1.633 -0.628 0.272
-10.978 -6.483 0.060
-4.548 -4.011 -1.012
-8.252 -3.172 1.376
0.489 -2.075 -1.852
```

Summary:
The calculation puts the density of states at the Fermi level at 8.18 states/eV/f.u. Its space-group type is P4/mmm (123). The calculation puts the excess energy over the best structure of this formula in the dataset at 72 meV/atom.

Record 3
Entry from Alexandria via LeMat-Bulk: a relaxed Ba5Os crystal (PBE).

Cell and atoms, written as POSCAR:
```
Ba5Os
1.0
4.593 -7.955 0.000
4.593 7.955 0.000
0.000 0.000 4.437
Ba Os
5 1
Cartesian
3.517 -6.091 0.000
2.152 0.000 0.000
3.517 6.091 0.000
4.593 -2.652 2.219
4.593 2.652 2.219
0.000 0.000 2.219
```

Summary:
The calculation puts the density of states at the Fermi level at 10.68 states/eV/f.u. Its space-group type is P-62m (189). The calculation puts the excess energy over the best structure of this formula in the dataset at 164 meV/atom.

Record 4
Entry from Alexandria via LeMat-Bulk: a relaxed BaOs crystal (PBE).

Cell and atoms, written as POSCAR:
```
BaOs
1.0
-10.625 -4.700 1.566
-9.843 -6.285 -1.018
-8.962 -7.341 1.794
Os Ba
2 2
Cartesian
-15.140 -9.427 1.205
-6.933 -4.317 0.552
-28.943 -18.023 2.303
-22.560 -14.048 1.795
```

Summary:
The calculation puts the density of states at the Fermi level at 2.49 states/eV/f.u. The calculation puts the total energy at -5.197 eV/atom. Its space-group type is R-3m (166).

Record 5
Entry from Alexandria via LeMat-Bulk: a relaxed BaOs3 crystal (PBE).

Cell and atoms, written as POSCAR:
```
BaOs3
1.0
4.450 0.000 0.000
0.000 6.365 0.000
0.000 0.000 7.052
Ba Os
2 6
Cartesian
0.000 3.832 0.000
2.225 2.533 3.526
2.225 0.738 0.000
0.000 5.627 3.526
0.000 0.502 1.280
0.000 0.502 5.773
2.225 5.863 4.806
2.225 5.863 2.247
```

Summary:
The calculation puts the density of states at the Fermi level at 1.42 states/eV/f.u. Its space-group type is Pmmn (59). The calculation puts the excess energy over the best structure of this formula in the dataset at 0 meV/atom.

Record 6
Entry from Alexandria via LeMat-Bulk: a relaxed BaOs crystal (PBE).

Cell and atoms, written as POSCAR:
```
BaOs
1.0
5.182 0.000 0.000
2.591 4.488 0.000
2.591 1.496 4.231
Os Ba
2 2
Cartesian
5.182 2.992 2.116
7.773 4.488 3.173
0.000 0.000 0.000
2.591 1.496 1.058
```

Summary:
The calculation puts the density of states at the Fermi level at 3.82 states/eV/f.u. The calculation puts the total energy at -5.164 eV/atom. Its space-group type is Fd-3m (227).

Record 7
Entry from Alexandria via LeMat-Bulk: a relaxed BaOs crystal (PBE).

Cell and atoms, written as POSCAR:
```
BaOs
1.0
-0.795 2.224 2.080
-0.617 -2.708 2.659
9.360 0.673 2.856
Os Ba
2 2
Cartesian
3.874 0.278 1.182
2.441 -0.016 3.330
0.823 0.059 0.251
5.492 0.204 4.261
```

Summary:
The calculation puts the density of states at the Fermi level at 2.37 states/eV/f.u. The calculation puts the total energy at -5.939 eV/atom. Its space-group type is Pmmn (59).

Record 8
Entry from Alexandria via LeMat-Bulk: a relaxed Ba2Os3 crystal (PBE).

Cell and atoms, written as POSCAR:
```
Ba2Os3
1.0
-2.780 1.327 -2.593
-1.078 -2.378 3.066
-1.577 8.502 6.041
Ba Os
2 3
Cartesian
-2.542 1.867 0.554
-2.894 5.583 5.959
0.000 0.000 0.000
-3.037 4.535 2.450
-2.399 2.915 4.063
```

Summary:
The calculation puts the density of states at the Fermi level at 3.12 states/eV/f.u. The calculation puts the total energy at -6.437 eV/atom. Its space-group type is P-3m1 (164).

Question: Which formula does entry 2 have?
Answer: Ba5Os

What did the fifth record say?
Entry from Alexandria via LeMat-Bulk: a relaxed BaOs3 crystal (PBE).

Cell and atoms, written as POSCAR:
```
BaOs3
1.0
4.450 0.000 0.000
0.000 6.365 0.000
0.000 0.000 7.052
Ba Os
2 6
Cartesian
0.000 3.832 0.000
2.225 2.533 3.526
2.225 0.738 0.000
0.000 5.627 3.526
0.000 0.502 1.280
0.000 0.502 5.773
2.225 5.863 4.806
2.225 5.863 2.247
```

Summary:
The calculation puts the density of states at the Fermi level at 1.42 states/eV/f.u. Its space-group type is Pmmn (59). The calculation puts the excess energy over the best structure of this formula in the dataset at 0 meV/atom.

Question: What is the formula in the sixth record?
Answer: BaOs